(1)
The following is a PBE calculation of crystalline KRbPd3 at its relaxed geometry, from the Alexandria database.

Computed properties:
- E (eV per atom) = -2.620

Cell lengths 5.369, 5.369, 5.369 Å; angles 90.00, 90.00, 90.00 degrees
Space group Pm-3m (No. 221)
Unique sites:
1 K 0.000 0.000 0.000
2 Rb 0.500 0.500 0.500
3 Pd 0.000 0.000 0.500

---

(2)
The following is a PBE calculation of crystalline K2RbPd2 at its relaxed geometry, from the Alexandria database.

Computed properties:
- E (eV per atom) = -2.529

Cell lengths 9.721, 9.721, 3.325 Å; angles 90.00, 90.00, 90.00 degrees
Space group P4/mbm (No. 127)
Unique sites:
1 K 0.125 0.375 0.000
2 Rb 0.000 0.000 0.500
3 Pd 0.172 0.672 0.500

---

(3)
The following is a PBE calculation of crystalline KRbPd2 at its relaxed geometry, from the Alexandria database.

Computed properties:
- E (eV per atom) = -2.699

Cell lengths 8.841, 8.841, 5.992 Å; angles 90.00, 90.00, 90.00 degrees
Space group I-42d (No. 122)
Unique sites:
1 K 0.000 0.000 0.000
2 Rb 0.000 0.000 0.500
3 Pd 0.244 0.250 0.125

---

(4)
The following is a PBE calculation of crystalline K7Rb4Pd at its relaxed geometry, from the Alexandria database.

Computed properties:
- E (eV per atom) = -1.365

Cell lengths 15.357, 6.562, 17.383 Å; angles 90.00, 104.72, 90.00 degrees
Space group C2/m (No. 12)
Unique sites:
1 K 0.000 0.000 0.000
2 K 0.092 0.000 0.631
3 K 0.134 0.500 0.457
4 K 0.211 0.500 0.084
5 Rb 0.050 0.500 0.825
6 Rb 0.181 0.000 0.274
7 Pd 0.000 0.500 0.000

---

(5)
The following is a PBE calculation of crystalline KRb2Pd2 at its relaxed geometry, from the Alexandria database.

Computed properties:
- E (eV per atom) = -2.429

Cell lengths 5.401, 5.401, 13.182 Å; angles 90.00, 90.00, 90.00 degrees
Space group I4/mmm (No. 139)
Unique sites:
1 K 0.000 0.000 0.000
2 Rb 0.000 0.500 0.250
3 Pd 0.000 0.000 0.400

---

(6)
The following is a PBE calculation of crystalline K9Rb6Pd at its relaxed geometry, from the Alexandria database.

Computed properties:
- E (eV per atom) = -1.280

Cell lengths 10.678, 10.678, 20.530 Å; angles 90.00, 90.00, 90.00 degrees
Space group I4/m (No. 87)
Unique sites:
1 K 0.000 0.000 0.000
2 K 0.091 0.297 0.170
3 Rb 0.000 0.000 0.338
4 Rb 0.103 0.294 0.500
5 Pd 0.000 0.000 0.500

---

(7)
The following is a PBE calculation of crystalline K12Rb6Pd at its relaxed geometry, from the Alexandria database.

Computed properties:
- E (eV per atom) = -1.222

Cell lengths 17.2952, 17.2952, 16.3944 Å; angles 90.00, 90.00, 120.00 degrees
Space group R-3 (No. 148, hexagonal axes)
Unique sites:
1 K 0.0400 0.1599 0.3745
2 K 0.0484 0.8775 0.8721
3 Rb 0.0064 0.4014 0.2500
4 Pd 0.0000 0.0000 0.5000

---

(8)
The following is a PBE calculation of crystalline K4Rb2Pd at its relaxed geometry, from the Alexandria database.

Computed properties:
- E (eV per atom) = -1.581

Cell lengths 6.356, 6.356, 24.184 Å; angles 90.00, 90.00, 90.00 degrees
Space group I4/mmm (No. 139)
Unique sites:
1 K 0.000 0.000 0.130
2 K 0.000 0.500 0.000
3 Rb 0.000 0.000 0.320
4 Pd 0.000 0.000 0.000

---

The records above give, respectively, mass density values of 4.761, 3.979, 4.785, 1.415, 3.652, 1.378, 1.277, 1.475 Mg/m³.
The records above give, respectively, spin magnetization values of 0.00, 0.00, 0.00, 0.00, 0.00, 0.00, 0.00, 0.00 μB/f.u..